one.
# Tl2SbPb GGA-PBEsol relaxed
# density of states at the Fermi level: 1.95 states/eV/f.u.
data_Tl2SbPb
_cell_length_a 11.849
_cell_length_b 3.505
_cell_length_c 5.759
_cell_angle_alpha 90.00
_cell_angle_beta 108.09
_cell_angle_gamma 90.00
_space_group_name_H-M_alt 'C 1 2/m 1'
_space_group_IT_number 12
_space_group_name_Hall '-C 2y'
loop_
_atom_site_label
_atom_site_type_symbol
_atom_site_fract_x
_atom_site_fract_y
_atom_site_fract_z
Tl1 Tl 0.243 0.000 0.245
Sb1 Sb 0.000 0.500 0.000
Pb1 Pb 0.000 0.000 0.500



two.
# Tl2SbPb GGA-PBEsol relaxed
# density of states at the Fermi level: 2.07 states/eV/f.u.
data_Tl2SbPb
_cell_length_a 3.275
_cell_length_b 5.244
_cell_length_c 6.625
_cell_angle_alpha 90.00
_cell_angle_beta 90.00
_cell_angle_gamma 90.00
_space_group_name_H-M_alt 'P m m m'
_space_group_IT_number 47
_space_group_name_Hall '-P 2 2'
loop_
_atom_site_label
_atom_site_type_symbol
_atom_site_fract_x
_atom_site_fract_y
_atom_site_fract_z
Tl1 Tl 0.000 0.000 0.246
Sb1 Sb 0.500 0.500 0.000
Pb1 Pb 0.500 0.500 0.500



Quick one: least stable of them? one



one.
# N GGA-PBEsol relaxed
# density of states at the Fermi level: 0.36 states/eV/f.u.
data_N
_cell_length_a 3.4949
_cell_length_b 3.4949
_cell_length_c 3.3303
_cell_angle_alpha 90.00
_cell_angle_beta 90.00
_cell_angle_gamma 120.00
_space_group_name_H-M_alt 'P 31 2 1'
_space_group_IT_number 152
_space_group_name_Hall 'P 31 2"'
loop_
_atom_site_label
_atom_site_type_symbol
_atom_site_fract_x
_atom_site_fract_y
_atom_site_fract_z
N1 N 0.0000 0.1076 0.1667



two.
# N GGA-PBEsol relaxed
# density of states at the Fermi level: 0.00 states/eV/f.u.
data_N
_cell_length_a 5.695
_cell_length_b 5.695
_cell_length_c 5.695
_cell_angle_alpha 90.00
_cell_angle_beta 90.00
_cell_angle_gamma 90.00
_space_group_name_H-M_alt 'P a -3'
_space_group_IT_number 205
_space_group_name_Hall '-P 2ac 2ab 3'
loop_
_atom_site_label
_atom_site_type_symbol
_atom_site_fract_x
_atom_site_fract_y
_atom_site_fract_z
N1 N 0.056 0.056 0.056



Quick one: least stable of them? one